Density functional theory data (PBE-GGA) for Cd3Hg8 after structural relaxation.

Computed properties:
- ΔH_f (0 K) (kJ/mol of formula units) = 44
- V (Å³ per atom) = 28.98
- distance to the lowest polymorph of the same formula (eV per formula unit) = 0.23

Unit cell a=10.1103 b=10.1103 c=10.8017 alpha=90.00 beta=90.00 gamma=120.00
Space group R-3 (No. 148, hexagonal axes)
One atom of each set of equivalent atoms:
1 Cd 0.0000 0.5000 0.0000 (multiplicity 9)
2 Hg 0.0000 0.0000 0.3501 (multiplicity 6)
3 Hg 0.0011 0.7838 0.9023 (multiplicity 18)